No. 1
# CaHfMo2Pd

A geometry-optimized CaHfMo2Pd structure (PBE, the Alexandria database).

Cell lengths 4.763, 4.763, 5.685 Å; angles 90.00, 90.00, 90.00 degrees
Space group P4/mmm (No. 123)
One atom of each set of equivalent atoms:
Ca  0.000  0.000  0.000 x1
Hf  0.000  0.000  0.500 x1
Mo  0.000  0.500  0.500 x2
Pd  0.500  0.500  0.000 x1

Values from the calculation:
Uncorrected energy, eV per atom: -6.091
Fermi-level density of states, states/eV per cell: 5.44


No. 2
# CaY2Cl

A geometry-optimized CaY2Cl structure (PBE, the Alexandria database).

Cell lengths 3.719, 6.129, 10.621 Å; angles 90.00, 90.00, 90.00 degrees
Space group Cmmm (No. 65)
One atom of each set of equivalent atoms:
Ca  0.000  0.000  0.000 x2
Y  0.000  0.500  0.285 x4
Cl  0.000  0.000  0.500 x2

Values from the calculation:
Uncorrected energy, eV per atom: -4.684
Fermi-level density of states, states/eV per cell: 10.27
Uncorrected formation energy, kJ/mol of atoms: -47.3


> Look up the uncorrected energy of the second one.

-4.684 eV per atom